A geometry-optimized PbWAu2N structure. Source: Alexandria, functional PBE-GGA.

Cell lengths 5.1898, 5.1898, 5.3857 Å; angles 90.00, 90.00, 90.00 degrees
Space group P4/mmm (No. 123)
Unique sites:
Pb: 0.0000 0.0000 0.0000 (multiplicity 1)
W: 0.0000 0.0000 0.5000 (multiplicity 1)
Au: 0.0000 0.5000 0.0000 (multiplicity 2)
N: 0.5000 0.5000 0.5000 (multiplicity 1)

## Properties
Raw total energy   -3.412 eV/atom
Formation energy from raw total energies   279.4 kJ per mole of atoms
Density of states at the Fermi level   4.267 states/eV/cell